15
Lattice="7.0291 0.0000 -0.0001 -3.5145 6.0846 -0.0234 -0.0001 -4.0334 6.9696" Properties=species:S:1:pos:R:3 comment="Cs3Pm3VO8 PBE+U optimized geometry" mass_density_g_cm3=5.65 dos_ef_per_ev_cell=0.0 dft_energy_ev_per_atom=-6.67 spacegroup="No. 166" pbc="T T T"
O 1.5396 -1.1319 2.4239
O 3.5145 2.2913 2.4127
O 5.4895 -1.1320 2.4239
O -1.9750 3.1832 4.5222
O 1.9749 3.1831 4.5223
O 0.0000 -0.2401 4.5335
O 0.0000 2.0347 2.3075
O 3.5145 0.0164 4.6386
Pm -1.7573 1.0256 3.4731
Pm 3.5145 -2.0167 3.4848
Pm 1.7572 1.0256 3.4731
Cs 0.0000 0.0000 0.0000
Cs 1.7573 3.0423 -0.0117
Cs -1.7573 3.0423 -0.0117
V 0.0000 -2.0167 3.4848